Entry 1:
The following is a GGA-PBE calculation of crystalline SmY3Tm3 at its relaxed geometry, from the Alexandria database.

Calculated values
- total magnetic moment (Bohr magnetons per cell) = 0.00
- VASP energy (eV for the cell shown) = -75.0
- energy relative to the elements (meV per atom) = 6
- crystal system = hexagonal
- relative energy among the computed polymorphs (eV per atom) = 0.000
- N(E_F) (states/eV/f.u.) = 14.56
- volume (Å³/cell) = 446.1

Cell lengths 5.637, 9.560, 9.559 Å; angles 120.00, 90.00, 90.00 degrees
Positions (direct):
Y  0.250  0.951  0.761
Y  0.750  0.190  0.951
Y  0.250  0.810  0.049
Y  0.250  0.239  0.191
Y  0.750  0.049  0.239
Y  0.750  0.761  0.809
Tm  0.250  0.521  0.617
Tm  0.750  0.479  0.383
Tm  0.250  0.096  0.479
Tm  0.750  0.617  0.096
Tm  0.250  0.383  0.904
Tm  0.750  0.904  0.521
Sm  0.250  0.667  0.333
Sm  0.750  0.333  0.667



Entry 2:
The following is a GGA-PBE calculation of crystalline SrBePbO4 at its relaxed geometry, from the Alexandria database.

Calculated values
- total magnetic moment (Bohr magnetons per cell) = 0.00
- VASP energy (eV for the cell shown) = -84.8
- crystal system = monoclinic
- energy relative to the elements, uncorrected (eV per atom) = -1.922
- volume (Å³/cell) = 184.1

Cell lengths 5.256, 5.467, 6.730 Å; angles 90.00, 107.80, 90.00 degrees
Positions (direct):
Be  0.242  0.750  0.324
Be  0.758  0.250  0.676
Sr  0.709  0.750  0.926
Sr  0.291  0.250  0.074
O  0.024  0.981  0.287
O  0.438  0.750  0.562
O  0.976  0.019  0.713
O  0.572  0.250  0.835
O  0.024  0.519  0.287
O  0.976  0.481  0.713
O  0.428  0.750  0.165
O  0.562  0.250  0.438
Pb  0.783  0.750  0.452
Pb  0.217  0.250  0.548



Entry 3:
The following is a GGA-PBE calculation of crystalline VRhW2 at its relaxed geometry, from the Alexandria database.

Calculated values
- total magnetic moment (Bohr magnetons per cell) = 1.51
- VASP energy (eV for the cell shown) = -79.5
- energy relative to the elements (meV per atom) = 651
- crystal system = tetragonal
- relative energy among the computed polymorphs (eV per atom) = 0.594
- N(E_F) (states/eV/f.u.) = 5.02
- volume (Å³/cell) = 131.3

Cell lengths 3.679, 3.679, 10.044 Å; angles 79.45, 79.45, 90.00 degrees
Each line ends with the local moment (μB).
Positions (direct):
Rh  0.000  0.000  0.000  0.03
Rh  0.750  0.250  0.500  0.03
W  0.614  0.125  0.250  -0.02
W  0.136  0.625  0.250  -0.02
W  0.875  0.864  0.750  -0.02
W  0.375  0.386  0.750  -0.02
V  0.250  0.750  0.500  0.70
V  0.500  0.500  0.000  0.70



Entry 4:
The following is a GGA-PBE calculation of crystalline CuGeP at its relaxed geometry, from the Alexandria database.

Calculated values
- total magnetic moment (Bohr magnetons per cell) = 0.00
- VASP energy (eV for the cell shown) = -13.7
- energy relative to the elements (meV per atom) = 137
- crystal system = orthorhombic
- relative energy among the computed polymorphs (eV per atom) = 0.029
- N(E_F) (states/eV/f.u.) = 1.18
- volume (Å³/cell) = 52.8

Cell lengths 4.204, 3.643, 3.889 Å; angles 90.00, 117.57, 90.00 degrees
Positions (direct):
P  0.455  0.500  0.520
Cu  0.832  0.500  0.209
Ge  0.883  0.000  0.734



Entry 5:
The following is a GGA-PBE calculation of crystalline AcNd3As4 at its relaxed geometry, from the Alexandria database.

Calculated values
- total magnetic moment (Bohr magnetons per cell) = 0.00
- VASP energy (eV for the cell shown) = -48.8
- energy relative to the elements (meV per atom) = -1473
- crystal system = cubic
- N(E_F) (states/eV/f.u.) = 1.21
- volume (Å³/cell) = 232.6

Cell lengths 6.150, 6.150, 6.150 Å; angles 90.00, 90.00, 90.00 degrees
Positions (direct):
Nd  0.500  0.000  0.500
Nd  0.500  0.500  0.000
Nd  0.000  0.500  0.500
As  0.000  0.000  0.500
As  0.000  0.500  0.000
As  0.500  0.500  0.500
As  0.500  0.000  0.000
Ac  0.000  0.000  0.000



Entry 6:
The following is a GGA-PBE calculation of crystalline Y2FeOs at its relaxed geometry, from the Alexandria database.

Calculated values
- total magnetic moment (Bohr magnetons per cell) = 4.38
- VASP energy (eV for the cell shown) = -60.9
- energy relative to the elements (meV per atom) = 541
- crystal system = tetragonal
- N(E_F) (states/eV/f.u.) = 4.80
- volume (Å³/cell) = 170.9

Cell lengths 7.552, 7.552, 6.123 Å; angles 51.93, 51.93, 90.00 degrees
Each line ends with the local moment (μB).
Positions (direct):
Fe  0.500  0.500  0.000  2.47
Fe  0.250  0.750  0.500  2.48
Y  0.120  0.625  0.250  -0.21
Y  0.875  0.880  0.750  -0.21
Y  0.630  0.125  0.250  -0.20
Y  0.375  0.370  0.750  -0.21
Os  0.000  0.000  0.000  0.27
Os  0.750  0.250  0.500  0.28



Look up the VASP energy of the first one. -75.0 eV for the cell shown



Which value of volume does entry 6 give? 170.9 Å³/cell



Please write out number 5 again, unchanged.
The following is a GGA-PBE calculation of crystalline AcNd3As4 at its relaxed geometry, from the Alexandria database.

Calculated values
- total magnetic moment (Bohr magnetons per cell) = 0.00
- VASP energy (eV for the cell shown) = -48.8
- energy relative to the elements (meV per atom) = -1473
- crystal system = cubic
- N(E_F) (states/eV/f.u.) = 1.21
- volume (Å³/cell) = 232.6

Cell lengths 6.150, 6.150, 6.150 Å; angles 90.00, 90.00, 90.00 degrees
Positions (direct):
Nd  0.500  0.000  0.500
Nd  0.500  0.500  0.000
Nd  0.000  0.500  0.500
As  0.000  0.000  0.500
As  0.000  0.500  0.000
As  0.500  0.500  0.500
As  0.500  0.000  0.000
Ac  0.000  0.000  0.000



Number 1 is which compound? SmY3Tm3